Entry 1:
Zn6Se7: relaxed, PBE.

Cell and atoms, written as extended XYZ:
```
13
Lattice="2.8963 1.6722 10.8878 -2.8963 1.6722 10.8878 0.0000 -3.3444 10.8878" Properties=species:S:1:pos:R:3 pbc="T T T"
Zn 0.0000 0.0000 1.2345
Zn 0.0000 0.0000 5.9260
Zn 0.0000 0.0000 10.8553
Zn 0.0000 0.0000 21.8080
Zn 0.0000 0.0000 26.7373
Zn 0.0000 0.0000 31.4289
Se -1.4363 -0.8292 12.9928
Se 0.0000 -1.6584 19.6705
Se -1.4363 0.8292 19.6705
Se 0.0000 0.0000 16.3317
Se 1.4363 -0.8292 12.9928
Se 0.0000 1.6584 12.9928
Se 1.4363 0.8292 19.6705
```

Properties
**ΔE_f (raw)**: 0.3439 eV/atom



Entry 2:
MoIrW: relaxed, PBE.

Cell and atoms, written as extended XYZ:
```
3
Lattice="-1.3744 1.3744 6.1649 1.3744 -1.3744 6.1649 1.3744 1.3744 -6.1649" Properties=species:S:1:pos:R:3 pbc="T T T"
Mo 0.0000 0.0000 0.0000
Ir 0.0000 0.0000 4.1969
W 0.0000 0.0000 8.3916
```

Properties
**Relative energy among the computed polymorphs**: 0.000 eV/f.u.
**Energy relative to the elements**: -121 meV per atom



Entry 3:
Pm3AgHg2: relaxed, PBE.

Cell and atoms, written as extended XYZ:
```
12
Lattice="5.3490 0.0000 0.0000 -2.6745 4.6324 0.0000 0.0000 0.0000 13.0992" Properties=species:S:1:pos:R:3 pbc="T T T"
Pm 0.0000 0.0000 3.2503
Pm 0.0000 0.0000 9.8489
Pm 0.0000 3.0882 5.4265
Pm 0.0000 3.0882 12.0074
Pm 2.6745 1.5441 1.0918
Pm 2.6745 1.5441 7.6727
Ag 0.0000 3.0882 2.1602
Ag 2.6745 1.5441 10.9390
Hg 0.0000 0.0000 0.0000
Hg 0.0000 0.0000 6.5496
Hg 0.0000 3.0882 8.7365
Hg 2.6745 1.5441 4.3627
```

Properties
**Relative energy among the computed polymorphs**: 0.000 eV/f.u.
**Energy relative to the elements**: -409 meV per atom



Entry 4:
ZrSc2FeAg: relaxed, PBE.

Cell and atoms, written as extended XYZ:
```
5
Lattice="4.8181 0.0000 0.0000 0.0000 4.8181 0.0000 0.0000 0.0000 4.7729" Properties=species:S:1:pos:R:3 pbc="T T T"
Zr 0.0000 0.0000 0.0000
Sc 0.0000 2.4090 2.3864
Sc 2.4090 0.0000 2.3864
Fe 0.0000 0.0000 2.3864
Ag 2.4090 2.4090 0.0000
```

Properties
**Energy relative to the elements**: 115 meV per atom



Entry 5:
HoEr2Pd: relaxed, PBE.

Cell and atoms, written as extended XYZ:
```
16
Lattice="6.9661 0.0000 0.0000 0.0000 9.5856 0.0000 0.0000 0.0000 6.4257" Properties=species:S:1:pos:R:3 pbc="T T T"
Ho 0.1491 2.3964 0.8315
Ho 3.3340 7.1892 4.0444
Ho 3.6321 2.3964 2.3813
Ho 6.8171 7.1892 5.5942
Er 1.2640 0.5648 4.3497
Er 1.2640 4.2280 4.3497
Er 2.2191 5.3576 1.1369
Er 2.2191 9.0208 1.1369
Er 4.7470 0.5648 5.2888
Er 4.7470 4.2280 5.2888
Er 5.7021 5.3576 2.0760
Er 5.7021 9.0208 2.0760
Pd 0.7599 7.1892 2.8512
Pd 2.7232 2.3964 6.0640
Pd 4.2429 7.1892 0.3617
Pd 6.2063 2.3964 3.5745
```

Properties
**Relative energy among the computed polymorphs**: 0.000 eV/f.u.
**Energy relative to the elements**: -488 meV per atom



Entry 6:
ReAsWSe2: relaxed, PBE.

Cell and atoms, written as extended XYZ:
```
5
Lattice="4.8471 0.0000 0.0000 0.0000 4.8471 0.0000 0.0000 0.0000 5.0774" Properties=species:S:1:pos:R:3 pbc="T T T"
Re 0.0000 0.0000 0.0000
As 2.4236 2.4236 0.0000
W 2.4236 2.4236 2.5387
Se 0.0000 2.4236 2.5387
Se 2.4236 0.0000 2.5387
```

Properties
**Relative energy among the computed polymorphs**: 0.000 eV/f.u.
**ΔE_f (raw)**: 1.3932 eV/atom



Entry 7:
Na5ZnIn2: relaxed, PBE.

Cell and atoms, written as extended XYZ:
```
16
Lattice="7.6209 0.0000 0.0000 0.0000 14.9226 0.0000 0.0000 0.0000 3.8816" Properties=species:S:1:pos:R:3 pbc="T T T"
Na 0.0000 0.0000 0.0000
Na 0.1903 3.5717 0.0000
Na 1.7757 5.7361 1.9408
Na 2.0347 13.1974 1.9408
Na 3.6201 11.0330 0.0000
Na 3.8104 7.4613 0.0000
Na 4.0008 3.8896 0.0000
Na 5.5862 1.7252 1.9408
Na 5.8451 9.1865 1.9408
Na 7.4305 11.3509 0.0000
Zn 0.0000 7.4613 0.0000
Zn 3.8104 0.0000 0.0000
In 1.5176 9.0715 1.9408
In 2.2929 1.6102 1.9408
In 5.3280 13.3124 1.9408
In 6.1033 5.8511 1.9408
```

Properties
**Relative energy among the computed polymorphs**: 0.000 eV/f.u.
**Energy relative to the elements**: -23 meV per atom



Entry 8:
Sr2LiGaAu6: relaxed, PBE.

Cell and atoms, written as extended XYZ:
```
10
Lattice="6.8540 0.0000 0.0000 3.4060 5.9589 0.0000 3.0808 2.1775 5.8416" Properties=species:S:1:pos:R:3 pbc="T T T"
Sr 2.9076 2.2845 1.6823
Sr 10.4331 5.8519 4.1592
Li 0.0000 0.0000 0.0000
Ga 6.6704 4.0682 2.9208
Au 7.0649 6.1627 4.3184
Au 5.0752 2.6598 4.3241
Au 5.4681 4.7530 0.7800
Au 7.8726 3.3834 5.0616
Au 8.2655 5.4766 1.5174
Au 6.2758 1.9738 1.5232
```

Properties
**Energy relative to the elements**: -507 meV per atom



Entry 9:
PrSm2US8: relaxed, PBE.

Cell and atoms, written as extended XYZ:
```
12
Lattice="6.0587 0.0000 0.0000 0.1225 6.2693 0.0000 0.0157 0.0014 8.4315" Properties=species:S:1:pos:R:3 pbc="T T T"
Pr 0.0000 0.0000 0.0000
Sm 3.0878 3.1387 2.1573
Sm 3.1091 3.1319 6.2743
U 0.0079 0.0007 4.2158
S 1.3702 3.5784 8.4297
S 1.5217 4.1098 4.2240
S 1.5134 0.7937 6.1278
S 1.5136 0.7840 2.2973
S 4.6833 5.4866 6.1343
S 4.6834 5.4769 2.3038
S 4.6751 2.1608 4.2075
S 4.8266 2.6922 0.0019
```

Properties
**ΔE_f (raw)**: -1.4767 eV/atom



Entry 10:
Rb2ZrScS4: relaxed, PBE.

Cell and atoms, written as extended XYZ:
```
8
Lattice="6.6527 0.0000 0.0000 0.0000 3.8170 0.0000 -2.1976 0.0000 7.6796" Properties=species:S:1:pos:R:3 pbc="T T T"
Rb 0.0000 0.0000 0.0000
Rb 3.3264 1.9085 0.0000
Zr -1.0988 1.9085 3.8398
Sc 2.2276 0.0000 3.8398
S 0.0116 0.0000 5.2925
S 1.1128 1.9085 2.4066
S 3.3423 1.9085 5.2730
S 4.4435 0.0000 2.3870
```

Properties
**ΔE_f (raw)**: -1.5756 eV/atom



Entry 11:
La4Nd4Sm3: relaxed, PBE.

Cell and atoms, written as extended XYZ:
```
11
Lattice="-1.8367 4.8537 11.2528 1.8367 -4.8537 11.2528 1.8367 4.8537 -11.2528" Properties=species:S:1:pos:R:3 pbc="T T T"
La 1.8367 -3.2085 7.9867
La 0.0000 1.6451 3.2661
La 1.8367 3.2085 7.9867
La 0.0000 8.0622 3.2661
Nd 1.8367 0.0000 5.9520
Nd 0.0000 3.0280 0.0000
Nd 0.0000 6.6794 0.0000
Nd 0.0000 4.8537 5.3008
Sm 1.8367 0.0000 0.0000
Sm 0.0000 0.0000 8.8928
Sm 0.0000 0.0000 13.6128
```

Properties
**Relative energy among the computed polymorphs**: 0.000 eV/f.u.
**Energy relative to the elements**: 118 meV per atom



Entry 12:
SrCd3Te: relaxed, PBE.

Cell and atoms, written as extended XYZ:
```
5
Lattice="6.1752 0.0000 0.0000 0.0000 6.1752 0.0000 0.0000 0.0000 6.1752" Properties=species:S:1:pos:R:3 pbc="T T T"
Sr 0.0000 0.0000 0.0000
Cd 0.0000 0.0000 3.0876
Cd 0.0000 3.0876 0.0000
Cd 3.0876 0.0000 0.0000
Te 3.0876 3.0876 3.0876
```

Properties
**Relative energy among the computed polymorphs**: 1.907 eV/f.u.
**ΔE_f (raw)**: 0.5266 eV/atom